Record 1
The following is a DFT calculation (GGA-PBEsol) of MgTa2HgPd after structural relaxation.

Values from the calculation:
DFT formation energy in eV/atom: 1.5244

Cell lengths 4.393, 4.751, 4.751 Å; angles 90.00, 90.00, 90.00 degrees
Positions (direct):
Mg  0.000  0.000  0.000
Hg  0.500  0.500  0.500
Pd  0.500  0.000  0.000
Ta  0.000  0.500  0.000
Ta  0.000  0.000  0.500

=====

Record 2
The following is a DFT calculation (GGA-PBEsol) of CrCdCl after structural relaxation.

Values from the calculation:
Formation energy without anion corrections in eV per atom: 0.38
Relative energy among the computed polymorphs in meV/atom: 279

Cell lengths 4.625, 4.625, 4.625 Å; angles 60.00, 60.00, 60.00 degrees
Site moments in Bohr magnetons follow the coordinates.
Positions (direct):
Cd  0.000  0.000  0.000  0.07
Cr  0.750  0.750  0.750  4.08
Cl  0.500  0.500  0.500  0.02

=====

Record 3
The following is a DFT calculation (GGA-PBEsol) of ZnHgMoRh2 after structural relaxation.

Values from the calculation:
DFT formation energy in eV/atom: 1.3262

Cell lengths 4.480, 4.480, 4.592 Å; angles 90.00, 90.00, 90.00 degrees
Site moments in Bohr magnetons follow the coordinates.
Positions (direct):
Rh  0.000  0.500  0.000  0.10
Zn  0.000  0.000  0.000  -0.01
Mo  0.500  0.500  0.500  2.70
Hg  0.000  0.000  0.500  0.02
Rh  0.500  0.000  0.000  0.10

=====

Record 4
The following is a DFT calculation (GGA-PBEsol) of TcRuOF2 after structural relaxation.

Values from the calculation:
Formation energy without anion corrections in eV per atom: -0.20

Cell lengths 3.716, 4.142, 4.142 Å; angles 90.00, 90.00, 90.00 degrees
Site moments in Bohr magnetons follow the coordinates.
Positions (direct):
O  0.500  0.000  0.000  0.03
F  0.000  0.500  0.000  0.04
Ru  0.500  0.500  0.500  2.67
F  0.000  0.000  0.500  0.04
Tc  0.000  0.000  0.000  0.28

=====

Record 5
The following is a DFT calculation (GGA-PBEsol) of KCo2Si after structural relaxation.

Values from the calculation:
Formation energy without anion corrections in eV per atom: 0.30

Cell lengths 2.773, 2.774, 7.864 Å; angles 90.00, 90.00, 90.00 degrees
Site moments in Bohr magnetons follow the coordinates.
Positions (direct):
K  0.500  0.500  0.000  0.00
Co  0.000  0.000  0.661  0.46
Si  0.500  0.500  0.500  -0.02
Co  0.000  0.000  0.339  0.46

=====

Record 6
The following is a DFT calculation (GGA-PBEsol) of Ba2MnBe after structural relaxation.

Values from the calculation:
DFT formation energy in eV/atom: 0.7898

Cell lengths 5.342, 5.342, 5.334 Å; angles 120.04, 120.04, 90.00 degrees
Site moments in Bohr magnetons follow the coordinates.
Positions (direct):
Ba  0.750  0.250  0.500  -0.01
Ba  0.000  0.000  0.000  0.06
Be  0.500  0.500  0.000  -0.02
Mn  0.250  0.750  0.500  4.04

=====

Record 7
The following is a DFT calculation (GGA-PBEsol) of SrPSe3 after structural relaxation.

Values from the calculation:
Formation energy without anion corrections in eV per atom: -0.96

Cell lengths 6.953, 7.715, 9.697 Å; angles 90.00, 91.75, 90.00 degrees
Positions (direct):
P  0.557  0.392  0.936
Sr  0.036  0.394  0.752
Se  0.669  0.805  0.052
Se  0.599  0.502  0.730
Se  0.401  0.498  0.270
Se  0.678  0.794  0.459
P  0.443  0.608  0.064
Se  0.178  0.706  0.959
Se  0.901  0.002  0.770
P  0.057  0.108  0.436
Se  0.831  0.305  0.448
Se  0.322  0.206  0.541
Sr  0.464  0.894  0.748
Sr  0.964  0.606  0.248
Sr  0.536  0.106  0.252
Se  0.822  0.294  0.041
Se  0.331  0.195  0.948
P  0.943  0.892  0.564
Se  0.099  0.998  0.230
Se  0.169  0.695  0.552

=====

Record 8
The following is a DFT calculation (GGA-PBEsol) of ZnFe3As after structural relaxation.

Values from the calculation:
DFT formation energy in eV/atom: 1.1919

Cell lengths 4.327, 4.327, 4.327 Å; angles 90.00, 90.00, 90.00 degrees
Site moments in Bohr magnetons follow the coordinates.
Positions (direct):
Fe  0.500  0.000  0.000  2.73
Fe  0.000  0.500  0.000  2.73
As  0.500  0.500  0.500  0.02
Zn  0.000  0.000  0.000  -0.08
Fe  0.000  0.000  0.500  2.73

=====

Record 9
The following is a DFT calculation (GGA-PBEsol) of NaBiAu3 after structural relaxation.

Values from the calculation:
DFT formation energy in eV/atom: 0.7350

Cell lengths 4.843, 4.843, 4.843 Å; angles 90.00, 90.00, 90.00 degrees
Positions (direct):
Bi  0.500  0.500  0.500
Na  0.000  0.000  0.000
Au  0.000  0.000  0.500
Au  0.000  0.500  0.000
Au  0.500  0.000  0.000

=====

Record 10
The following is a DFT calculation (GGA-PBEsol) of TaTc2Mo after structural relaxation.

Values from the calculation:
Relative energy among the computed polymorphs in meV/atom: 10
DFT formation energy in eV/atom: -0.1663

Cell lengths 4.409, 4.409, 4.409 Å; angles 60.00, 60.00, 60.00 degrees
Positions (direct):
Tc  0.750  0.750  0.750
Tc  0.250  0.250  0.250
Mo  0.000  0.000  0.000
Ta  0.500  0.500  0.500

=====

Record 11
The following is a DFT calculation (GGA-PBEsol) of MgAg2 after structural relaxation.

Values from the calculation:
Relative energy among the computed polymorphs in meV/atom: 61
DFT formation energy in eV/atom: -0.1278

Cell lengths 3.008, 5.476, 6.798 Å; angles 104.03, 90.00, 105.94 degrees
Positions (direct):
Mg  0.727  0.454  0.953
Ag  0.671  0.342  0.340
Ag  0.007  0.013  0.002
Ag  0.331  0.661  0.674
Ag  0.388  0.777  0.272
Mg  0.043  0.087  0.592

=====

Record 12
The following is a DFT calculation (GGA-PBEsol) of CdCoTe2 after structural relaxation.

Values from the calculation:
Formation energy without anion corrections in eV per atom: 0.00

Cell lengths 3.647, 5.054, 5.994 Å; angles 110.90, 90.00, 111.15 degrees
Positions (direct):
Te  0.733  0.467  0.319
Te  0.906  0.813  0.920
Co  0.293  0.587  0.623
Cd  0.567  0.134  0.638

=====

Record 13
The following is a DFT calculation (GGA-PBEsol) of Y2TlHg after structural relaxation.

Values from the calculation:
DFT formation energy in eV/atom: -0.5388

Cell lengths 5.226, 5.226, 5.226 Å; angles 60.00, 60.00, 60.00 degrees
Site moments in Bohr magnetons follow the coordinates.
Positions (direct):
Tl  0.500  0.500  0.500  0.00
Hg  0.000  0.000  0.000  0.01
Y  0.750  0.750  0.750  0.06
Y  0.250  0.250  0.250  0.06

=====

Record 14
The following is a DFT calculation (GGA-PBEsol) of K3ScF6 after structural relaxation.

Values from the calculation:
Formation energy without anion corrections in eV per atom: -3.28

Cell lengths 6.320, 6.320, 6.320 Å; angles 60.00, 60.00, 60.00 degrees
Positions (direct):
F  0.776  0.224  0.776
F  0.776  0.224  0.224
K  0.750  0.750  0.750
K  0.500  0.500  0.500
F  0.224  0.776  0.224
K  0.250  0.250  0.250
F  0.224  0.224  0.776
Sc  0.000  0.000  0.000
F  0.224  0.776  0.776
F  0.776  0.776  0.224

=====

Record 15
The following is a DFT calculation (GGA-PBEsol) of Sc2SbSe after structural relaxation.

Values from the calculation:
Formation energy without anion corrections in eV per atom: -0.83
Relative energy among the computed polymorphs in meV/atom: 489

Cell lengths 6.213, 6.213, 7.648 Å; angles 113.97, 113.97, 90.00 degrees
Positions (direct):
Sc  0.125  0.148  0.750
Sb  0.000  0.000  0.000
Sc  0.852  0.375  0.250
Se  0.750  0.250  0.500
Se  0.500  0.500  0.000
Sc  0.398  0.875  0.250
Sb  0.250  0.750  0.500
Sc  0.625  0.602  0.750

=====

Record 16
The following is a DFT calculation (GGA-PBEsol) of ZrTe after structural relaxation.

Values from the calculation:
Formation energy without anion corrections in eV per atom: -0.93

Cell lengths 3.685, 3.685, 7.873 Å; angles 90.00, 90.00, 120.00 degrees
Positions (direct):
Te  0.667  0.333  0.750
Zr  0.000  0.000  0.000
Zr  0.000  0.000  0.500
Te  0.333  0.667  0.250

=====

Record 17
The following is a DFT calculation (GGA-PBEsol) of AsPbBr after structural relaxation.

Values from the calculation:
Formation energy without anion corrections in eV per atom: 0.15
Relative energy among the computed polymorphs in meV/atom: 130

Cell lengths 4.984, 4.984, 4.984 Å; angles 60.00, 60.00, 60.00 degrees
Positions (direct):
Pb  0.250  0.250  0.250
Br  0.500  0.500  0.500
As  0.000  0.000  0.000

=====

Record 18
The following is a DFT calculation (GGA-PBEsol) of Li3CaIr after structural relaxation.

Values from the calculation:
DFT formation energy in eV/atom: 0.2178

Cell lengths 4.676, 4.676, 4.676 Å; angles 90.00, 90.00, 90.00 degrees
Positions (direct):
Ir  0.000  0.000  0.000
Ca  0.500  0.500  0.500
Li  0.000  0.000  0.500
Li  0.000  0.500  0.000
Li  0.500  0.000  0.000

=====

Record 19
The following is a DFT calculation (GGA-PBEsol) of ZrIr2Rh after structural relaxation.

Values from the calculation:
DFT formation energy in eV/atom: -0.5674

Cell lengths 3.938, 3.938, 4.809 Å; angles 114.17, 114.17, 90.00 degrees
Positions (direct):
Ir  0.500  0.500  0.000
Zr  0.250  0.750  0.500
Ir  0.750  0.250  0.500
Rh  0.000  0.000  0.000

=====

Record 20
The following is a DFT calculation (GGA-PBEsol) of Li2GaCu3 after structural relaxation.

Values from the calculation:
DFT formation energy in eV/atom: -0.1627

Cell lengths 4.850, 4.850, 4.850 Å; angles 60.66, 60.66, 60.66 degrees
Positions (direct):
Cu  0.500  0.000  0.000
Cu  0.000  0.500  0.000
Li  0.376  0.376  0.376
Cu  0.000  0.000  0.500
Li  0.624  0.624  0.624
Ga  0.000  0.000  0.000

=====

Number 1: total moment 0.000 μB per atom. Number 2: total moment 1.637 μB per atom. Number 3: total moment 0.652 μB per atom. Number 4: total moment 0.657 μB per atom. Number 5: total moment 0.235 μB per atom. Number 6: total moment 1.147 μB per atom. Number 7: total moment 0.000 μB per atom. Number 8: total moment 1.651 μB per atom. Number 9: total moment 0.000 μB per atom. Number 10: total moment 0.000 μB per atom. Number 11: total moment 0.000 μB per atom. Number 12: total moment 0.000 μB per atom. Number 13: total moment 0.044 μB per atom. Number 14: total moment 0.001 μB per atom. Number 15: total moment 0.000 μB per atom. Number 16: total moment 0.000 μB per atom. Number 17: total moment 0.000 μB per atom. Number 18: total moment 0.000 μB per atom. Number 19: total moment 0.000 μB per atom. Number 20: total moment 0.000 μB per atom.